[1]
Pr2GeTe | PBE | optimized geometry

Cell and atoms, written as extended XYZ:
```
8
Lattice="4.401 0.000 0.000 0.000 6.291 0.000 0.000 0.000 9.017" Properties=species:S:1:pos:R:3 pbc="T T T"
Pr 0.000 0.000 7.670
Pr 0.000 0.000 3.506
Pr 2.201 3.146 5.511
Pr 2.201 3.146 1.346
Ge 2.201 0.000 5.627
Ge 0.000 3.146 3.389
Te 0.000 3.146 7.929
Te 2.201 0.000 1.087
```

## Properties
The value obtained for the total magnetization is 0.0 μB/cell. Its space-group type is Pmmn, No. 59. The calculation puts the energy relative to the elements, uncorrected at -1.199 eV per atom.


[2]
Pr2GeTe | PBE | optimized geometry

Cell and atoms, written as extended XYZ:
```
4
Lattice="4.418 0.000 0.000 2.209 3.826 0.000 2.209 1.275 7.388" Properties=species:S:1:pos:R:3 pbc="T T T"
Pr 6.627 3.826 5.723
Pr 2.209 1.275 1.665
Ge 0.000 0.000 0.000
Te 4.418 2.551 3.694
```

## Properties
The value obtained for the total magnetization is 0.0 μB/cell. Its space-group type is R-3m, No. 166. The calculation puts the energy relative to the elements, uncorrected at -1.215 eV per atom.


[3]
Pr3GeTe2 | PBE | optimized geometry

Cell and atoms, written as extended XYZ:
```
24
Lattice="-7.448 -0.895 -2.049 4.121 2.240 -6.202 4.044 -13.501 1.074" Properties=species:S:1:pos:R:3 pbc="T T T"
Pr 4.944 -9.751 -3.689
Pr -1.017 -11.415 -1.346
Pr 2.351 -9.045 0.136
Pr 0.863 -8.276 -4.257
Pr 4.007 -5.600 -2.752
Pr 2.495 -4.988 -6.502
Pr 0.102 -3.813 -3.010
Pr -1.882 -3.178 -7.225
Pr -4.299 -2.376 -3.666
Pr 1.806 -0.770 -5.654
Pr -0.756 0.306 -1.875
Pr -2.571 1.040 -6.376
Ge 0.319 -10.012 -6.667
Ge 3.649 -7.438 -5.137
Ge 2.853 -3.150 -4.117
Ge 0.398 -2.144 -0.510
Te -1.355 -13.214 -4.061
Te 1.995 -10.752 -2.558
Te -2.148 -8.938 -3.044
Te 1.202 -6.477 -1.541
Te -0.485 -5.679 -5.637
Te -2.919 -4.785 -2.056
Te -1.278 -1.404 -4.620
Te -3.713 -0.510 -1.039
```

## Properties
The value obtained for the total magnetization is 0.0 μB/cell. Its space-group type is Fddd, No. 70. The calculation puts the energy relative to the elements, uncorrected at -1.340 eV per atom.


[4]
PrGeTe3 | PBE | optimized geometry

Cell and atoms, written as extended XYZ:
```
20
Lattice="4.320 0.000 0.000 0.000 10.847 0.000 0.000 0.000 13.294" Properties=species:S:1:pos:R:3 pbc="T T T"
Pr 3.240 5.486 9.141
Pr 3.240 10.784 2.494
Pr 1.080 5.360 4.153
Pr 1.080 0.063 10.800
Ge 1.080 1.999 6.922
Ge 1.080 3.425 0.275
Ge 3.240 8.848 6.372
Ge 3.240 7.422 13.019
Te 1.080 3.135 9.532
Te 1.080 2.289 2.885
Te 3.240 7.712 3.762
Te 3.240 8.558 10.409
Te 1.080 6.973 7.102
Te 1.080 9.297 0.455
Te 3.240 3.873 6.192
Te 3.240 1.550 12.839
Te 3.240 0.260 8.325
Te 3.240 5.164 1.678
Te 1.080 10.587 4.969
Te 1.080 5.683 11.616
```

## Properties
The value obtained for the total magnetization is 0.0 μB/cell. Its space-group type is Pnma, No. 62. The calculation puts the energy relative to the elements, uncorrected at -0.711 eV per atom.